1.
Below is a relaxed VCrIn2W crystal, with properties calculated at the PBE level.

Calculated values
**Uncorrected energy**: -6.0409 eV/atom
**Magnetic moment**: 2.8 μB per formula unit
**Symmetry**: P4/mmm

abc: 5.0061 4.0237 5.0061
angles: 90.00 90.00 90.00
With the nearest neighbours (Å) after each atom.
Fractional coordinates of all 5 atoms:
V1 0.0000 0.5000 0.0000  2 Cr 2.01
W1 0.5000 0.5000 0.5000  8 In 3.21, 4 V 3.54
Cr1 0.0000 0.0000 0.0000  2 V 2.01
In1 0.5000 0.0000 0.0000  2 Cr 2.50
In2 0.0000 0.0000 0.5000  2 Cr 2.50

2.
Below is a relaxed Ca2ScCd5 crystal, with properties calculated at the PBE level.

Calculated values
**Uncorrected energy**: -2.1276 eV/atom
**Magnetic moment**: 0.0 μB per formula unit
**Symmetry**: I4/mmm

abc: 5.1608 5.1608 8.2637
angles: 108.20 108.20 90.00
With the nearest neighbours (Å) after each atom.
Fractional coordinates of all 8 atoms:
Cd1 0.5000 0.5000 0.0000  8 Cd 3.07
Cd2 0.3874 0.8874 0.7748  3 Cd 3.07-3.34, 2 Sc 3.07, 4 Ca 3.24-3.33
Cd3 0.8874 0.3874 0.7748  2 Sc 3.07, 3 Cd 3.07-3.34, 4 Ca 3.24-3.33
Cd4 0.6126 0.1126 0.2252  3 Cd 3.07-3.34, 2 Sc 3.07, 4 Ca 3.24-3.33
Cd5 0.1126 0.6126 0.2252  2 Sc 3.07, 3 Cd 3.07-3.34, 4 Ca 3.24-3.33
Ca1 0.7451 0.7451 0.4902  8 Cd 3.24-3.33
Ca2 0.2549 0.2549 0.5098  8 Cd 3.24-3.33
Sc1 0.0000 0.0000 0.0000  8 Cd 3.07

3.
Below is a relaxed CsPrAlS3 crystal, with properties calculated at the PBE level.

Calculated values
**Uncorrected energy**: -5.0523 eV/atom
**Magnetic moment**: 0.0 μB per formula unit
**Symmetry**: C2/m
**Formation energy from raw total energies**: -1426 meV/atom

abc: 4.6646 8.1815 9.3539
angles: 102.35 90.00 106.56
With the nearest neighbours (Å) after each atom.
Fractional coordinates of all 12 atoms:
S1 0.8357 0.6715 0.6321  1 Al 2.53
S2 0.1643 0.3285 0.3679  1 Al 2.53
S3 0.8523 0.7046 0.2352  1 Al 2.36
S4 0.4936 0.9873 0.7017  2 Al 2.40
S5 0.5064 0.0127 0.2983  2 Al 2.40
S6 0.1477 0.2954 0.7648  1 Al 2.36
Al1 0.9985 0.9970 0.6439  4 S 2.36-2.53
Al2 0.0015 0.0030 0.3561  4 S 2.36-2.53
Cs1 0.3591 0.7182 0.9423  7 S 3.36-3.68
Cs2 0.6409 0.2818 0.0577  7 S 3.36-3.68
Pr1 0.3540 0.7079 0.4378  7 S 2.90-3.01
Pr2 0.6460 0.2921 0.5622  7 S 2.90-3.01

4.
Below is a relaxed Ta2InRe crystal, with properties calculated at the PBE level.

Calculated values
**Uncorrected energy**: -9.6820 eV/atom
**Magnetic moment**: 0.0 μB per formula unit
**Symmetry**: P4/mmm

abc: 3.0867 3.0867 7.8181
angles: 90.00 90.00 90.00
With the nearest neighbours (Å) after each atom.
Fractional coordinates of all 4 atoms:
In1 0.5000 0.5000 0.2500  4 In 3.09, 8 Ta 3.15
Ta1 0.0000 0.0000 0.9596  4 Re 2.73
Ta2 0.0000 0.0000 0.5404  4 Re 2.73
Re1 0.5000 0.5000 0.7500  8 Ta 2.73

5.
Below is a relaxed Al2OsRu crystal, with properties calculated at the PBE level.

Calculated values
**Uncorrected energy**: -7.1541 eV/atom
**Magnetic moment**: 0.0 μB per formula unit
**Symmetry**: R3m

abc: 8.6616 8.6616 8.6616
angles: 18.76 18.76 18.76
With the nearest neighbours (Å) after each atom.
Fractional coordinates of all 4 atoms:
Al1 0.0041 0.0041 0.0041  3 Ru 2.61, 9 Al 2.82-2.83
Al2 0.2468 0.2468 0.2468  3 Os 2.65, 9 Al 2.82-2.83
Os1 0.4985 0.4985 0.4985  3 Ru 2.64, 3 Al 2.65, 6 Os 2.82
Ru1 0.7506 0.7506 0.7506  3 Al 2.61, 3 Os 2.64, 6 Ru 2.82

6.
Below is a relaxed Y2RhN crystal, with properties calculated at the PBE level.

Calculated values
**Uncorrected energy**: -8.1632 eV/atom
**Magnetic moment**: 0.0 μB per formula unit
**Symmetry**: R-3m
**Formation energy from raw total energies**: -1012 meV/atom

abc: 3.4740 3.4740 7.2191
angles: 76.08 76.08 60.00
With the nearest neighbours (Å) after each atom.
Fractional coordinates of all 4 atoms:
Rh1 0.0000 0.0000 0.0000  6 Y 2.88
N1 0.5000 0.5000 0.5000  6 Y 2.45
Y1 0.2341 0.2341 0.2977  3 N 2.45
Y2 0.7659 0.7659 0.7023  3 N 2.45